A crystal of CaZrOs3 relaxed with PBEsol, computed with meta-GGA SCAN.

Unit cell a=4.813 b=4.813 c=4.813 alpha=90.00 beta=90.00 gamma=90.00
Fractional coordinates of all 5 atoms:
Ca  0.000  0.000  0.000
Zr  0.500  0.500  0.500
Os  0.000  0.500  0.500
Os  0.500  0.000  0.500
Os  0.500  0.500  0.000

Summary:
energy relative to the elements: 1709.0 meV/atom
uncorrected energy: -49.491 eV per atom
DOS(E_F): 6.73 states/eV per cell
total moment: 0.00 μB/cell